1.
The following is a PBE calculation of CsIr2Rh after structural relaxation, from Alexandria.

Results
The formation energy is 163 kJ/mol of atoms. The space group is Fm-3m (225).

Cell: 6.6868 6.6868 6.6868 Å, 90.00 90.00 90.00°
Last column: nearest neighbours and their distance in Å.
Atoms (fractional coordinates):
Cs 0.0000 0.0000 0.0000  8 Ir 2.90
Cs 0.0000 0.5000 0.5000  8 Ir 2.90
Cs 0.5000 0.0000 0.5000  8 Ir 2.90
Cs 0.5000 0.5000 0.0000  8 Ir 2.90
Ir 0.2500 0.2500 0.2500  4 Rh 2.90, 4 Cs 2.90
Ir 0.2500 0.2500 0.7500  4 Cs 2.90, 4 Rh 2.90
Ir 0.2500 0.7500 0.2500  4 Rh 2.90, 4 Cs 2.90
Ir 0.2500 0.7500 0.7500  4 Rh 2.90, 4 Cs 2.90
Ir 0.7500 0.2500 0.2500  4 Rh 2.90, 4 Cs 2.90
Ir 0.7500 0.2500 0.7500  4 Rh 2.90, 4 Cs 2.90
Ir 0.7500 0.7500 0.2500  4 Rh 2.90, 4 Cs 2.90
Ir 0.7500 0.7500 0.7500  4 Cs 2.90, 4 Rh 2.90
Rh 0.0000 0.0000 0.5000  8 Ir 2.90
Rh 0.0000 0.5000 0.0000  8 Ir 2.90
Rh 0.5000 0.0000 0.0000  8 Ir 2.90
Rh 0.5000 0.5000 0.5000  8 Ir 2.90

=====

2.
The following is a PBE calculation of CsIr2Rh after structural relaxation, from Alexandria.

Results
The formation energy is 101 kJ/mol of atoms. The space group is I4_1/amd (141).

Cell: 5.3107 5.3107 16.4492 Å, 90.00 90.00 90.00°
Last column: nearest neighbours and their distance in Å.
Atoms (fractional coordinates):
Cs 0.0000 0.2500 0.3750  8 Ir 3.61, 4 Rh 3.76
Cs 0.0000 0.7500 0.6250  8 Ir 3.61, 4 Rh 3.76
Cs 0.5000 0.2500 0.1250  8 Ir 3.61, 4 Rh 3.76
Cs 0.5000 0.7500 0.8750  8 Ir 3.61, 4 Rh 3.76
Ir 0.0000 0.0000 0.0000  2 Rh 2.45, 2 Ir 2.66
Ir 0.0000 0.5000 0.0000  2 Rh 2.45, 2 Ir 2.66
Ir 0.2500 0.2500 0.7500  2 Rh 2.45, 2 Ir 2.66
Ir 0.2500 0.7500 0.2500  2 Rh 2.45, 2 Ir 2.66
Ir 0.5000 0.0000 0.5000  2 Rh 2.45, 2 Ir 2.66
Ir 0.5000 0.5000 0.5000  2 Rh 2.45, 2 Ir 2.66
Ir 0.7500 0.2500 0.7500  2 Rh 2.45, 2 Ir 2.66
Ir 0.7500 0.7500 0.2500  2 Rh 2.45, 2 Ir 2.66
Rh 0.0000 0.2500 0.8750  4 Ir 2.45
Rh 0.0000 0.7500 0.1250  4 Ir 2.45
Rh 0.5000 0.2500 0.6250  4 Ir 2.45
Rh 0.5000 0.7500 0.3750  4 Ir 2.45

=====

3.
The following is a PBE calculation of Cs3IrRh after structural relaxation, from Alexandria.

Results
The formation energy is 122 kJ/mol of atoms. The space group is Pm-3m (221).

Cell: 6.0856 6.0856 6.0856 Å, 90.00 90.00 90.00°
Last column: nearest neighbours and their distance in Å.
Atoms (fractional coordinates):
Cs 0.0000 0.0000 0.5000  2 Ir 3.04
Cs 0.0000 0.5000 0.0000  2 Ir 3.04
Cs 0.5000 0.0000 0.0000  2 Ir 3.04
Ir 0.0000 0.0000 0.0000  6 Cs 3.04
Rh 0.5000 0.5000 0.5000  12 Cs 4.30

=====

4.
The following is a PBE calculation of CsTcIr2Rh after structural relaxation, from Alexandria.

Results
The formation energy is 189 kJ/mol of atoms. The space group is P4/mmm (123).

Cell: 4.7202 4.7202 5.5419 Å, 90.00 90.00 90.00°
Last column: nearest neighbours and their distance in Å.
Atoms (fractional coordinates):
Cs 0.0000 0.0000 0.0000  2 Tc 2.77
Tc 0.0000 0.0000 0.5000  4 Ir 2.36
Ir 0.0000 0.5000 0.5000  2 Tc 2.36
Ir 0.5000 0.0000 0.5000  2 Tc 2.36
Rh 0.5000 0.5000 0.0000  4 Cs 3.34, 8 Ir 3.64

=====

5.
The following is a PBE calculation of Cs2IrRu after structural relaxation, from Alexandria.

Results
The formation energy is 192 kJ/mol of atoms. The space group is Fm-3m (225).

Cell: 7.7589 7.7589 7.7589 Å, 90.00 90.00 90.00°
Last column: nearest neighbours and their distance in Å.
Atoms (fractional coordinates):
Cs 0.2500 0.2500 0.2500  4 Ru 3.36, 4 Ir 3.36
Cs 0.2500 0.2500 0.7500  4 Ir 3.36, 4 Ru 3.36
Cs 0.2500 0.7500 0.2500  4 Ir 3.36, 4 Ru 3.36
Cs 0.2500 0.7500 0.7500  4 Ru 3.36, 4 Ir 3.36
Cs 0.7500 0.2500 0.2500  4 Ir 3.36, 4 Ru 3.36
Cs 0.7500 0.2500 0.7500  4 Ru 3.36, 4 Ir 3.36
Cs 0.7500 0.7500 0.2500  4 Ru 3.36, 4 Ir 3.36
Cs 0.7500 0.7500 0.7500  4 Ir 3.36, 4 Ru 3.36
Ir 0.0000 0.0000 0.0000  8 Cs 3.36
Ir 0.0000 0.5000 0.5000  8 Cs 3.36
Ir 0.5000 0.0000 0.5000  8 Cs 3.36
Ir 0.5000 0.5000 0.0000  8 Cs 3.36
Ru 0.0000 0.0000 0.5000  8 Cs 3.36
Ru 0.0000 0.5000 0.0000  8 Cs 3.36
Ru 0.5000 0.0000 0.0000  8 Cs 3.36
Ru 0.5000 0.5000 0.5000  8 Cs 3.36

=====

6.
The following is a PBE calculation of Cs3IrRu after structural relaxation, from Alexandria.

Results
The formation energy is 147 kJ/mol of atoms. The space group is Pm-3m (221).

Cell: 5.7690 5.7690 5.7690 Å, 90.00 90.00 90.00°
Last column: nearest neighbours and their distance in Å.
Atoms (fractional coordinates):
Cs 0.0000 0.0000 0.5000  2 Ru 2.88
Cs 0.0000 0.5000 0.0000  2 Ru 2.88
Cs 0.5000 0.0000 0.0000  2 Ru 2.88
Ir 0.5000 0.5000 0.5000  12 Cs 4.08
Ru 0.0000 0.0000 0.0000  6 Cs 2.88

=====

7.
The following is a PBE calculation of CsIrRu after structural relaxation, from Alexandria.

Results
The formation energy is 80 kJ/mol of atoms. The space group is Pnma (62).

Cell: 8.4905 4.2586 10.4500 Å, 90.00 90.00 90.00°
Last column: nearest neighbours and their distance in Å.
Atoms (fractional coordinates):
Cs 0.0005 0.2500 0.1855  6 Ru 3.67-4.01, 6 Ir 3.68-4.01
Cs 0.9995 0.7500 0.8145  6 Ru 3.67-4.01, 6 Ir 3.68-4.01
Cs 0.5005 0.2500 0.3145  6 Ru 3.67-4.01, 6 Ir 3.68-4.01
Cs 0.4995 0.7500 0.6855  6 Ru 3.67-4.01, 6 Ir 3.68-4.01
Ir 0.1425 0.2500 0.5513  3 Ru 2.39
Ir 0.3575 0.7500 0.0513  3 Ru 2.39
Ir 0.6425 0.2500 0.9487  3 Ru 2.39
Ir 0.8575 0.7500 0.4487  3 Ru 2.39
Ru 0.1391 0.7500 0.4484  3 Ir 2.39
Ru 0.3609 0.2500 0.9484  3 Ir 2.39
Ru 0.6391 0.7500 0.0516  3 Ir 2.39
Ru 0.8609 0.2500 0.5516  3 Ir 2.39

=====

8.
The following is a PBE calculation of CsIr3Ru after structural relaxation, from Alexandria.

Results
The formation energy is 337 kJ/mol of atoms. The space group is Pm-3m (221).

Cell: 4.9204 4.9204 4.9204 Å, 90.00 90.00 90.00°
Last column: nearest neighbours and their distance in Å.
Atoms (fractional coordinates):
Cs 0.0000 0.0000 0.0000  6 Ir 2.46
Ir 0.0000 0.0000 0.5000  2 Cs 2.46
Ir 0.0000 0.5000 0.0000  2 Cs 2.46
Ir 0.5000 0.0000 0.0000  2 Cs 2.46
Ru 0.5000 0.5000 0.5000  12 Ir 3.48

=====

9.
The following is a PBE calculation of CsIr3Ru after structural relaxation, from Alexandria.

Results
The formation energy is 153 kJ/mol of atoms. The space group is Pm-3m (221).

Cell: 4.8654 4.8654 4.8654 Å, 90.00 90.00 90.00°
Last column: nearest neighbours and their distance in Å.
Atoms (fractional coordinates):
Cs 0.0000 0.0000 0.0000  12 Ir 3.44
Ir 0.0000 0.5000 0.5000  2 Ru 2.43
Ir 0.5000 0.0000 0.5000  2 Ru 2.43
Ir 0.5000 0.5000 0.0000  2 Ru 2.43
Ru 0.5000 0.5000 0.5000  6 Ir 2.43

=====

10.
The following is a PBE calculation of Cs2IrRu after structural relaxation, from Alexandria.

Results
The formation energy is 98 kJ/mol of atoms. The space group is I4_1/amd (141).

Cell: 13.0734 13.0734 4.6656 Å, 90.00 90.00 90.00°
Last column: nearest neighbours and their distance in Å.
Atoms (fractional coordinates):
Cs 0.0000 0.0000 0.0000  2 Ru 3.32, 2 Ir 3.71
Cs 0.0000 0.5000 0.0000  2 Ru 3.32, 2 Ir 3.71
Cs 0.2500 0.2500 0.7500  2 Ru 3.32, 2 Ir 3.71
Cs 0.2500 0.7500 0.2500  2 Ru 3.32, 2 Ir 3.71
Cs 0.5000 0.0000 0.5000  2 Ru 3.32, 2 Ir 3.71
Cs 0.5000 0.5000 0.5000  2 Ru 3.32, 2 Ir 3.71
Cs 0.7500 0.2500 0.7500  2 Ru 3.32, 2 Ir 3.71
Cs 0.7500 0.7500 0.2500  2 Ru 3.32, 2 Ir 3.71
Ir 0.0000 0.2500 0.3750  2 Ru 2.33
Ir 0.0000 0.7500 0.6250  2 Ru 2.33
Ir 0.5000 0.2500 0.1250  2 Ru 2.33
Ir 0.5000 0.7500 0.8750  2 Ru 2.33
Ru 0.0000 0.2500 0.8750  2 Ir 2.33
Ru 0.0000 0.7500 0.1250  2 Ir 2.33
Ru 0.5000 0.2500 0.6250  2 Ir 2.33
Ru 0.5000 0.7500 0.3750  2 Ir 2.33

=====

11.
The following is a PBE calculation of CsIrRu after structural relaxation, from Alexandria.

Results
The formation energy is 60 kJ/mol of atoms. The space group is Cmcm (63).

Cell: 4.4782 13.6509 5.1585 Å, 90.00 90.00 90.00°
Last column: nearest neighbours and their distance in Å.
Atoms (fractional coordinates):
Cs 0.0000 0.2150 0.2500  1 Ir 3.25, 4 Cs 3.55
Cs 0.0000 0.7850 0.7500  1 Ir 3.25, 4 Cs 3.55
Cs 0.5000 0.2850 0.7500  1 Ir 3.25, 4 Cs 3.55
Cs 0.5000 0.7150 0.2500  1 Ir 3.25, 4 Cs 3.55
Ir 0.0000 0.0234 0.7500  4 Ru 2.60, 2 Ir 2.66
Ir 0.0000 0.9766 0.2500  4 Ru 2.60, 2 Ir 2.66
Ir 0.5000 0.4766 0.2500  4 Ru 2.60, 2 Ir 2.66
Ir 0.5000 0.5234 0.7500  4 Ru 2.60, 2 Ir 2.66
Ru 0.0000 0.5000 0.0000  2 Ru 2.58, 4 Ir 2.60
Ru 0.0000 0.5000 0.5000  2 Ru 2.58, 4 Ir 2.60
Ru 0.5000 0.0000 0.0000  2 Ru 2.58, 4 Ir 2.60
Ru 0.5000 0.0000 0.5000  2 Ru 2.58, 4 Ir 2.60

=====

12.
The following is a PBE calculation of CsSi2IrRu after structural relaxation, from Alexandria.

Results
The formation energy without anion corrections comes out at 3.137 eV/atom. The space group is P4/mmm (123).

Cell: 5.2879 5.2879 4.9989 Å, 90.00 90.00 90.00°
Last column: nearest neighbours and their distance in Å.
Atoms (fractional coordinates):
Cs 0.0000 0.0000 0.0000  2 Ir 2.50, 4 Si 2.64
Si 0.0000 0.5000 0.0000  2 Cs 2.64
Si 0.5000 0.0000 0.0000  2 Cs 2.64
Ir 0.0000 0.0000 0.5000  2 Cs 2.50
Ru 0.5000 0.5000 0.5000  8 Si 3.64, 4 Ir 3.74

=====

What did we get for calculated volume? Answer: 298.99; 463.92; 225.38; 123.48; 467.09; 192.00; 377.85; 119.13; 115.17; 797.42; 315.35; 139.78 Å³ per cell, in the order shown.